Computed, not measured: a relaxed structure of YCdPd2 at the PBE-GGA level of DFT.

Output
* formation enthalpy at 0 K: -15.29 kcal/mol of atoms

Lattice parameters (Å, degrees): 4.648 4.648 3.620 90.00 90.00 90.00
Atoms (fractional coordinates):
1 Y 0.500 0.500 0.000
2 Cd 0.000 0.000 0.000
3 Pd 0.500 0.000 0.500
4 Pd 0.000 0.500 0.500

***

Computed, not measured: a relaxed structure of SrCoTc at the PBE-GGA level of DFT.

Output
* energy relative to the lowest polymorph listed for this composition: 0.00 eV/f.u.

Lattice parameters (Å, degrees): 4.532 4.532 4.532 60.00 60.00 60.00
Atoms (fractional coordinates):
1 Co 0.000 0.000 0.000
2 Tc 0.750 0.750 0.750
3 Sr 0.250 0.250 0.250

***

Computed, not measured: a relaxed structure of Li4In2CuNi at the PBE-GGA level of DFT.

Output
* electronic total energy: -24.066 eV per cell

Lattice parameters (Å, degrees): 4.379 4.379 6.189 90.00 90.00 90.00
Atoms (fractional coordinates):
1 Li 0.000 0.500 0.751
2 Li 0.000 0.000 0.000
3 Li 0.500 0.000 0.249
4 Li 0.500 0.500 0.500
5 Ni 0.500 0.500 0.000
6 In 0.500 0.000 0.759
7 In 0.000 0.500 0.241
8 Cu 0.000 0.000 0.500

***

Computed, not measured: a relaxed structure of DyEr2Lu4Ni2Te2 at the PBE-GGA level of DFT.

Output
* energy relative to the lowest polymorph listed for this composition: 0.00 eV/f.u.

Lattice parameters (Å, degrees): 9.214 9.214 9.214 156.04 67.20 118.27
Atoms (fractional coordinates):
1 Ni 0.832 0.069 0.763
2 Ni 0.306 0.069 0.237
3 Te 0.733 0.233 0.500
4 Te 0.340 0.340 0.000
5 Lu 0.062 0.377 0.685
6 Lu 0.448 0.582 0.865
7 Lu 0.717 0.582 0.135
8 Lu 0.691 0.377 0.315
9 Er 0.376 0.730 0.647
10 Er 0.083 0.730 0.353
11 Dy 0.000 0.000 0.000

***

Computed, not measured: a relaxed structure of CsLaCdS3 at the PBE-GGA level of DFT.

Output
* electronic total energy: -54.436 eV per cell

Lattice parameters (Å, degrees): 9.078 9.078 9.371 103.00 103.00 27.98
Atoms (fractional coordinates):
1 Cs 0.852 0.852 0.937
2 Cs 0.148 0.148 0.063
3 S 0.337 0.337 0.627
4 S 0.348 0.348 0.232
5 S 0.652 0.652 0.768
6 S 0.500 0.500 0.000
7 S 0.000 0.000 0.500
8 S 0.663 0.663 0.373
9 Cd 0.499 0.499 0.722
10 Cd 0.501 0.501 0.278
11 La 0.835 0.835 0.418
12 La 0.165 0.165 0.582

***

Computed, not measured: a relaxed structure of GaCuAgIr at the PBE-GGA level of DFT.

Output
* energy relative to the lowest polymorph listed for this composition: 0.00 eV/f.u.

Lattice parameters (Å, degrees): 4.382 4.382 4.382 60.00 60.00 60.00
Atoms (fractional coordinates):
1 Ga 0.000 0.000 0.000
2 Cu 0.750 0.750 0.750
3 Ir 0.250 0.250 0.250
4 Ag 0.500 0.500 0.500

***

no.,total magnetic moment (μB/f.u.)
1,0.00
2,3.73
3,0.01
4,0.01
5,0.00
6,0.00